[1]
Density functional theory data (GGA-PBE) for a relaxed YPN3 crystal.

Values from the calculation:
- Raw formation energy: 175.2 kJ per mole of atoms
- VASP energy: -27.8 eV for the cell shown
- SG: Pm-3m, No. 221

abc: 4.4623 4.4623 4.4623
angles: 90.00 90.00 90.00
Closest atoms and distances in Å follow each position.
Fractional coordinates of all 5 atoms:
Y 0.0000 0.0000 0.0000  6 N 2.23
P 0.5000 0.5000 0.5000  12 N 3.16
N 0.0000 0.5000 0.0000  2 Y 2.23
N 0.0000 0.0000 0.5000  2 Y 2.23
N 0.5000 0.0000 0.0000  2 Y 2.23

[2]
Density functional theory data (GGA-PBE) for a relaxed Sc2TaCl crystal.

Values from the calculation:
- Raw formation energy: 26.1 kJ per mole of atoms
- Offset from the most stable computed form: 774.0 meV per atom
- VASP energy: -25.3 eV for the cell shown
- SG: Pmmm, No. 47

abc: 3.0735 5.5653 4.8810
angles: 90.00 90.00 90.00
Closest atoms and distances in Å follow each position.
Fractional coordinates of all 4 atoms:
Cl 0.0000 0.5000 0.5000  4 Sc 2.88, 2 Cl 3.07, 4 Ta 3.18
Sc 0.0000 0.0000 0.0000  4 Ta 2.88, 6 Sc 3.07-3.18
Sc 0.5000 0.5000 0.0000  4 Cl 2.88, 6 Sc 3.07-3.18
Ta 0.5000 0.0000 0.5000  4 Sc 2.88, 2 Ta 3.07, 4 Cl 3.18

[3]
Density functional theory data (GGA-PBE) for a relaxed BaSrAsCl crystal.

Values from the calculation:
- Raw formation energy: -162.2 kJ per mole of atoms
- Offset from the most stable computed form: 0.0 meV per atom
- VASP energy: -16.8 eV for the cell shown
- SG: R3m, No. 160

abc: 4.6429 4.6429 7.9400
angles: 73.00 73.00 60.00
Closest atoms and distances in Å follow each position.
Fractional coordinates of all 4 atoms:
Ba 0.5085 0.5085 0.4745  3 As 3.22, 3 Cl 3.44
Sr 0.9912 0.9912 0.0263  3 As 3.11, 3 Cl 3.33
As 0.2547 0.2547 0.2360  3 Sr 3.11, 3 Ba 3.22
Cl 0.7456 0.7456 0.7631  3 Sr 3.33, 3 Ba 3.44

[4]
Density functional theory data (GGA-PBE) for a relaxed MnTeP2S crystal.

Values from the calculation:
- Raw formation energy: 36.1 kJ per mole of atoms
- Offset from the most stable computed form: 0.0 meV per atom
- VASP energy: -25.4 eV for the cell shown
- SG: P4/mmm, No. 123

abc: 4.6659 4.6659 4.1539
angles: 90.00 90.00 90.00
Closest atoms and distances in Å follow each position.
Fractional coordinates of all 5 atoms:
P 0.0000 0.5000 0.0000  2 Mn 2.33
P 0.5000 0.0000 0.0000  2 Mn 2.33
S 0.0000 0.0000 0.5000  2 Mn 2.08
Te 0.5000 0.5000 0.5000  8 P 3.12, 4 S 3.30
Mn 0.0000 0.0000 0.0000  2 S 2.08

[5]
Density functional theory data (GGA-PBE) for a relaxed ZrV2Ga2 crystal.

Values from the calculation:
- Offset from the most stable computed form: 347.3 meV per atom
- VASP energy: -32.7 eV for the cell shown
- SG: I4/mmm, No. 139
- Calculated formation energy: 0.0285 eV per atom

abc: 4.0762 4.0762 5.8954
angles: 69.77 69.77 90.00
Closest atoms and distances in Å follow each position.
Fractional coordinates of all 5 atoms:
Zr 0.0000 0.0000 0.0000  8 V 3.04, 8 Ga 3.28
Ga 0.7500 0.2500 0.5000  4 V 2.60, 4 Ga 2.88
Ga 0.2500 0.7500 0.5000  4 V 2.60, 4 Ga 2.88
V 0.4063 0.4063 0.1874  1 V 1.93
V 0.5937 0.5937 0.8126  1 V 1.93

[6]
Density functional theory data (GGA-PBE) for a relaxed Sr2AlSi2Au6 crystal.

Values from the calculation:
- Raw formation energy: -42.5 kJ per mole of atoms
- VASP energy: -42.5 eV for the cell shown
- SG: R-3m, No. 166

abc: 6.9585 6.9585 7.4268
angles: 62.06 62.06 60.00
Closest atoms and distances in Å follow each position.
Fractional coordinates of all 11 atoms:
Sr 0.7345 0.7345 0.7965  1 Si 3.18, 3 Au 3.43
Sr 0.2655 0.2655 0.2035  1 Si 3.18, 3 Au 3.43
Al 0.0000 0.0000 0.0000  6 Au 2.56
Si 0.4352 0.4352 0.6944  3 Au 2.37, 1 Si 2.43
Si 0.5648 0.5648 0.3056  3 Au 2.37, 1 Si 2.43
Au 0.7587 0.7587 0.3144  1 Si 2.37, 1 Al 2.56
Au 0.1682 0.7587 0.3144  1 Si 2.37, 1 Al 2.56
Au 0.7587 0.1682 0.3144  1 Si 2.37, 1 Al 2.56
Au 0.2413 0.8318 0.6856  1 Si 2.37, 1 Al 2.56
Au 0.8318 0.2413 0.6856  1 Si 2.37, 1 Al 2.56
Au 0.2413 0.2413 0.6856  1 Si 2.37, 1 Al 2.56

[7]
Density functional theory data (GGA-PBE) for a relaxed AlSb2Pb crystal.

Values from the calculation:
- Raw formation energy: 4.3 kJ per mole of atoms
- Offset from the most stable computed form: 0.0 meV per atom
- VASP energy: -31.0 eV for the cell shown
- SG: I-42d, No. 122

abc: 6.6644 6.6644 8.0456
angles: 65.53 65.53 90.00
Closest atoms and distances in Å follow each position.
Fractional coordinates of all 8 atoms:
Pb 0.0000 0.0000 0.0000  4 Sb 3.06
Pb 0.7500 0.2500 0.5000  4 Sb 3.06
Sb 0.5787 0.1250 0.2500  2 Al 2.70
Sb 0.1713 0.6250 0.2500  2 Al 2.70
Sb 0.3750 0.4213 0.7500  2 Al 2.70
Sb 0.8750 0.8287 0.7500  2 Al 2.70
Al 0.5000 0.5000 0.0000  4 Sb 2.70
Al 0.2500 0.7500 0.5000  4 Sb 2.70

[8]
Density functional theory data (GGA-PBE) for a relaxed TbTa2TcC4 crystal.

Values from the calculation:
- VASP energy: -155.3 eV for the cell shown
- SG: Cmcm, No. 63
- Calculated formation energy: -0.2566 eV per atom

abc: 3.2508 5.8700 11.1888
angles: 90.00 90.00 106.08
Closest atoms and distances in Å follow each position.
Fractional coordinates of all 16 atoms:
Tb 0.1132 0.2264 0.7500  6 C 2.49-2.64
Tb 0.8868 0.7736 0.2500  6 C 2.49-2.64
Ta 0.3699 0.7398 0.5361  3 C 2.07-2.23
Ta 0.6301 0.2602 0.0361  3 C 2.07-2.23
Ta 0.6301 0.2602 0.4639  3 C 2.07-2.23
Ta 0.3699 0.7398 0.9639  3 C 2.07-2.23
Tc 0.8480 0.6960 0.7500  4 C 1.97
Tc 0.1520 0.3040 0.2500  4 C 1.97
C 0.2618 0.5236 0.1135  1 Tc 1.97, 1 Ta 2.07
C 0.7382 0.4764 0.6135  1 Tc 1.97, 1 Ta 2.07
C 0.7382 0.4764 0.8865  1 Tc 1.97, 1 Ta 2.07
C 0.2618 0.5236 0.3865  1 Tc 1.97, 1 Ta 2.07
C 0.0000 0.0000 0.5000  4 Ta 2.23
C 0.0000 0.0000 0.0000  4 Ta 2.23
C 0.4464 0.8927 0.7500  2 Tc 1.97
C 0.5536 0.1073 0.2500  2 Tc 1.97

Repeat the fifth record exactly.
Density functional theory data (GGA-PBE) for a relaxed ZrV2Ga2 crystal.

Values from the calculation:
- Offset from the most stable computed form: 347.3 meV per atom
- VASP energy: -32.7 eV for the cell shown
- SG: I4/mmm, No. 139
- Calculated formation energy: 0.0285 eV per atom

abc: 4.0762 4.0762 5.8954
angles: 69.77 69.77 90.00
Closest atoms and distances in Å follow each position.
Fractional coordinates of all 5 atoms:
Zr 0.0000 0.0000 0.0000  8 V 3.04, 8 Ga 3.28
Ga 0.7500 0.2500 0.5000  4 V 2.60, 4 Ga 2.88
Ga 0.2500 0.7500 0.5000  4 V 2.60, 4 Ga 2.88
V 0.4063 0.4063 0.1874  1 V 1.93
V 0.5937 0.5937 0.8126  1 V 1.93